VASP calculation (PBEsol) on crystalline CuIrC3 at its relaxed geometry.

Calculated values
The volume comes out at 12.25 Å³/atom. Its crystal system is cubic. The value obtained for the formation energy from the elements is 2336.2 meV per atom. For the density of states at the Fermi level, the calculation gives 4.7 states/eV/cell. As for the space group: No. 221.

Lattice parameters (Å, degrees): 3.9421 3.9421 3.9421 90.00 90.00 90.00
Sites, in units of the cell vectors:
C 0.5000 0.0000 0.0000
C 0.0000 0.0000 0.5000
C 0.0000 0.5000 0.0000
Ir 0.0000 0.0000 0.0000
Cu 0.5000 0.5000 0.5000

=====

VASP calculation (PBEsol) on crystalline CuIr3C at its relaxed geometry.

Calculated values
The volume comes out at 16.87 Å³/atom. Its crystal system is cubic. The value obtained for the formation energy from the elements is 3141.8 meV per atom. For the density of states at the Fermi level, the calculation gives 5.6 states/eV/cell. As for the space group: No. 221.

Lattice parameters (Å, degrees): 4.3856 4.3856 4.3856 90.00 90.00 90.00
Sites, in units of the cell vectors:
Cu 0.0000 0.0000 0.0000
Ir 0.0000 0.0000 0.5000
Ir 0.0000 0.5000 0.0000
Ir 0.5000 0.0000 0.0000
C 0.5000 0.5000 0.5000

=====

VASP calculation (PBEsol) on crystalline Cu3IrC at its relaxed geometry.

Calculated values
The volume comes out at 18.71 Å³/atom. Its crystal system is cubic. The value obtained for the formation energy from the elements is 2599.1 meV per atom. For the density of states at the Fermi level, the calculation gives 6.7 states/eV/cell. As for the space group: No. 221.

Lattice parameters (Å, degrees): 4.5398 4.5398 4.5398 90.00 90.00 90.00
Last column: magnetic moment on the atom in μB.
Sites, in units of the cell vectors:
Ir 0.0000 0.0000 0.0000  -0.09
Cu 0.5000 0.0000 0.0000  -0.04
Cu 0.0000 0.0000 0.5000  -0.04
Cu 0.0000 0.5000 0.0000  -0.04
C 0.5000 0.5000 0.5000  0.50

=====

VASP calculation (PBEsol) on crystalline K3CuC at its relaxed geometry.

Calculated values
The volume comes out at 41.79 Å³/atom. Its crystal system is cubic. The value obtained for the formation energy from the elements is 1493.8 meV per atom. For the density of states at the Fermi level, the calculation gives 2.7 states/eV/cell. As for the space group: No. 221.

Lattice parameters (Å, degrees): 5.9340 5.9340 5.9340 90.00 90.00 90.00
Last column: magnetic moment on the atom in μB.
Sites, in units of the cell vectors:
Cu 0.0000 0.0000 0.0000  0.01
K 0.0000 0.5000 0.0000  -0.01
K 0.5000 0.0000 0.0000  -0.01
K 0.0000 0.0000 0.5000  -0.01
C 0.5000 0.5000 0.5000  1.00